(1)
Below is a relaxed NdPuHf crystal, with properties calculated at the PBE level.

Output
The distance to the lowest polymorph of the same formula comes out at 0 meV/atom. The calculation puts the total magnetization at 5.5 μB/f.u. Its symmetry is I4mm, No. 107. Its energy relative to the elements is 209 meV per atom. The total DFT energy (no corrections) is -9.475 eV/atom.

Structure (extended XYZ):
```
3
Lattice="-1.664 1.664 7.349 1.664 -1.664 7.349 1.664 1.664 -7.349" Properties=species:S:1:pos:R:3 pbc="T T T"
Nd 0.000 0.000 0.000
Pu 0.000 0.000 4.657
Hf 0.000 0.000 9.848
```

---

(2)
Below is a relaxed NdPuHf2 crystal, with properties calculated at the PBE level.

Output
The calculation puts the total magnetization at 5.2 μB/f.u. Its symmetry is R-3m, No. 166. Its energy relative to the elements is 354 meV per atom. The total DFT energy (no corrections) is -9.398 eV/atom.

Structure (extended XYZ):
```
4
Lattice="1.616 0.933 11.463 -1.616 0.933 11.463 0.000 -1.866 11.463" Properties=species:S:1:pos:R:3 pbc="T T T"
Nd 0.000 0.000 0.000
Pu 0.000 0.000 17.195
Hf 0.000 0.000 3.192
Hf 0.000 0.000 31.197
```

---

(3)
Below is a relaxed NdPuHf crystal, with properties calculated at the PBE level.

Output
The distance to the lowest polymorph of the same formula comes out at 10 meV/atom. The calculation puts the total magnetization at 5.7 μB/f.u. Its symmetry is I4/mmm, No. 139. Its energy relative to the elements is 219 meV per atom. The total DFT energy (no corrections) is -9.465 eV/atom.

Structure (extended XYZ):
```
6
Lattice="-1.643 1.643 15.299 1.643 -1.643 15.299 1.643 1.643 -15.299" Properties=species:S:1:pos:R:3 pbc="T T T"
Nd 0.000 0.000 1.754
Nd 0.000 0.000 28.844
Pu 0.000 0.000 10.952
Pu 0.000 0.000 19.646
Hf 0.000 0.000 6.603
Hf 0.000 0.000 23.994
```

---

(4)
Below is a relaxed NdPu2HfSb4 crystal, with properties calculated at the PBE level.

Output
The calculation puts the total magnetization at 10.8 μB/f.u. Its formation energy without anion corrections is -0.705 eV per atom. Its symmetry is P2/m, No. 10. The total DFT energy (no corrections) is -8.190 eV/atom.

Structure (extended XYZ):
```
8
Lattice="7.559 0.000 0.000 0.000 4.359 0.000 -2.499 0.000 7.163" Properties=species:S:1:pos:R:3 pbc="T T T"
Nd 0.000 0.000 0.000
Pu 2.530 0.000 3.582
Pu 3.779 2.180 0.000
Hf -1.250 2.180 3.582
Sb -0.038 0.000 5.240
Sb 1.206 2.180 1.890
Sb 3.853 2.180 5.274
Sb 5.098 0.000 1.923
```

---

(5)
Below is a relaxed Rb2Nd2HfS6 crystal, with properties calculated at the PBE level.

Output
The calculation puts the total magnetization at 0.0 μB/f.u. Its formation energy without anion corrections is -1.764 eV per atom. Its symmetry is C2/m, No. 12. The total DFT energy (no corrections) is -5.963 eV/atom.

Structure (extended XYZ):
```
11
Lattice="3.519 -6.016 0.000 3.519 6.016 0.000 -2.390 0.000 7.866" Properties=species:S:1:pos:R:3 pbc="T T T"
Rb 3.519 3.963 0.000
Rb 3.519 -3.963 0.000
Nd 2.324 2.001 3.933
Nd 2.324 -2.001 3.933
Hf -1.195 0.000 3.933
S -0.117 1.847 5.406
S 0.929 0.000 2.468
S -0.117 -1.847 5.406
S 4.765 1.847 2.460
S 3.720 0.000 5.398
S 4.765 -1.847 2.460
```

---

(6)
Below is a relaxed Rb4Nd3HfS8 crystal, with properties calculated at the PBE level.

Output
The calculation puts the total magnetization at 0.0 μB/f.u. Its formation energy without anion corrections is -1.697 eV per atom. Its symmetry is R-3m, No. 166. The total DFT energy (no corrections) is -5.519 eV/atom.

Structure (extended XYZ):
```
16
Lattice="4.103 2.369 7.721 -4.103 2.369 7.721 0.000 -4.738 7.721" Properties=species:S:1:pos:R:3 pbc="T T T"
Rb 0.000 0.000 0.000
Rb -2.052 -1.185 7.721
Rb -2.052 1.185 15.442
Rb 0.000 2.369 7.721
Nd -4.103 0.000 11.581
Nd -2.052 1.185 3.860
Nd 2.052 1.185 3.860
Hf 0.000 0.000 11.581
S 0.000 0.000 5.438
S -1.891 -1.092 13.060
S 0.000 -2.184 10.103
S -1.891 1.092 10.103
S 1.891 -1.092 13.060
S 0.000 2.184 13.060
S 1.891 1.092 10.103
S 0.000 0.000 17.725
```

---

(7)
Below is a relaxed Rb3Nd3HfS8 crystal, with properties calculated at the PBE level.

Output
The calculation puts the total magnetization at 0.0 μB/f.u. Its formation energy without anion corrections is -1.780 eV per atom. Its symmetry is R-3m, No. 166. The total DFT energy (no corrections) is -5.792 eV/atom.

Structure (extended XYZ):
```
15
Lattice="4.096 2.365 7.856 -4.096 2.365 7.856 0.000 -4.730 7.856" Properties=species:S:1:pos:R:3 pbc="T T T"
Rb -2.048 -1.183 7.856
Rb -2.048 1.183 15.712
Rb 0.000 2.365 7.856
Nd -4.096 0.000 11.784
Nd -2.048 1.183 3.928
Nd 2.048 1.183 3.928
Hf 0.000 0.000 11.784
S 0.000 0.000 5.483
S -1.874 -1.082 13.232
S 0.000 -2.164 10.336
S -1.874 1.082 10.336
S 1.874 -1.082 13.232
S 0.000 2.164 13.232
S 1.874 1.082 10.336
S 0.000 0.000 18.085
```

---

(8)
Below is a relaxed Rb4Nd3HfSe8 crystal, with properties calculated at the PBE level.

Output
The calculation puts the total magnetization at 0.0 μB/f.u. Its formation energy without anion corrections is -1.588 eV per atom. Its symmetry is R-3m, No. 166. The total DFT energy (no corrections) is -5.088 eV/atom.

Structure (extended XYZ):
```
16
Lattice="4.259 2.459 8.034 -4.259 2.459 8.034 0.000 -4.918 8.034" Properties=species:S:1:pos:R:3 pbc="T T T"
Rb 0.000 0.000 0.000
Rb -2.130 -1.230 8.034
Rb -2.130 1.230 16.068
Rb 0.000 2.459 8.034
Nd -4.259 0.000 12.051
Nd -2.130 1.230 4.017
Nd 2.130 1.230 4.017
Hf 0.000 0.000 12.051
Se 0.000 0.000 5.682
Se -1.975 -1.140 13.621
Se 0.000 -2.281 10.480
Se -1.975 1.140 10.480
Se 1.975 -1.140 13.621
Se 0.000 2.281 13.621
Se 1.975 1.140 10.480
Se 0.000 0.000 18.420
```

---

(9)
Below is a relaxed NdHfRe4 crystal, with properties calculated at the PBE level.

Output
The calculation puts the total magnetization at 0.0 μB/f.u. Its symmetry is F-43m, No. 216. Its energy relative to the elements is -65 meV per atom. The total DFT energy (no corrections) is -10.817 eV/atom.

Structure (extended XYZ):
```
6
Lattice="0.000 3.817 3.817 3.817 0.000 3.817 3.817 3.817 0.000" Properties=species:S:1:pos:R:3 pbc="T T T"
Nd 0.000 0.000 0.000
Hf 5.726 5.726 5.726
Re 2.866 2.866 2.866
Re 4.768 4.768 2.866
Re 4.768 2.866 4.768
Re 2.866 4.768 4.768
```

---

(10)
Below is a relaxed NdHf2Re crystal, with properties calculated at the PBE level.

Output
The calculation puts the total magnetization at 0.0 μB/f.u. Its symmetry is P4/mmm, No. 123. Its energy relative to the elements is -88 meV per atom. The total DFT energy (no corrections) is -9.369 eV/atom.

Structure (extended XYZ):
```
4
Lattice="3.325 0.000 0.000 0.000 3.325 0.000 0.000 0.000 8.311" Properties=species:S:1:pos:R:3 pbc="T T T"
Nd 0.000 0.000 0.000
Hf 1.663 1.663 2.616
Hf 1.663 1.663 5.695
Re 0.000 0.000 4.156
```

---

(11)
Below is a relaxed NdHfRh4 crystal, with properties calculated at the PBE level.

Output
The calculation puts the total magnetization at 0.0 μB/f.u. Its symmetry is F-43m, No. 216. Its energy relative to the elements is -561 meV per atom. The total DFT energy (no corrections) is -7.916 eV/atom.

Structure (extended XYZ):
```
6
Lattice="0.000 3.754 3.754 3.754 0.000 3.754 3.754 3.754 0.000" Properties=species:S:1:pos:R:3 pbc="T T T"
Nd 0.000 0.000 0.000
Hf 5.631 5.631 5.631
Rh 2.819 2.819 2.819
Rh 4.688 4.688 2.819
Rh 4.688 2.819 4.688
Rh 2.819 4.688 4.688
```

---

(12)
Below is a relaxed NdHfRh2 crystal, with properties calculated at the PBE level.

Output
The calculation puts the total magnetization at 0.0 μB/f.u. Its symmetry is P4/mmm, No. 123. Its energy relative to the elements is -642 meV per atom. The total DFT energy (no corrections) is -7.998 eV/atom.

Structure (extended XYZ):
```
4
Lattice="4.826 0.000 0.000 0.000 4.826 0.000 0.000 0.000 3.378" Properties=species:S:1:pos:R:3 pbc="T T T"
Nd 0.000 0.000 0.000
Hf 2.413 2.413 0.000
Rh 0.000 2.413 1.689
Rh 2.413 0.000 1.689
```